DFT (GGA-PBE) results for Pr3DyTl after structural relaxation.

CIF file:
```
data_Pr3DyTl
_chemical_formula_sum 'Pr12 Dy4 Tl4'
_cell_length_a 12.4268
_cell_length_b 5.6451
_cell_length_c 10.0171
_cell_angle_alpha 90.00
_cell_angle_beta 109.01
_cell_angle_gamma 90.00
_symmetry_space_group_name_H-M 'C 1 2/m 1'
_symmetry_Int_Tables_number 12
loop_
_symmetry_equiv_pos_as_xyz
'x,y,z'
'-x,-y,-z'
'-x,y,-z'
'x,-y,z'
'x+1/2,y+1/2,z'
'-x+1/2,-y+1/2,-z'
'-x+1/2,y+1/2,-z'
'x+1/2,-y+1/2,z'
loop_
_atom_site_label
_atom_site_fract_x
_atom_site_fract_y
_atom_site_fract_z
Pr1 0.1359 0.0000 0.1027
Pr2 0.1532 0.5000 0.5316
Pr3 0.2144 0.0000 0.7846
Dy1 0.0448 0.5000 0.8515
Tl1 0.0543 0.0000 0.3775
```

* calculated formation energy: -2.29 kcal/mol of atoms
* E: -4.360 eV/atom
* density of states at the Fermi level: 6.14 states/eV/f.u.

DFT (GGA-PBE) results for Pr3DyTl3 after structural relaxation.

CIF file:
```
data_Pr3DyTl3
_chemical_formula_sum 'Pr12 Dy4 Tl12'
_cell_length_a 8.4668
_cell_length_b 10.9385
_cell_length_c 9.7788
_cell_angle_alpha 90.00
_cell_angle_beta 91.64
_cell_angle_gamma 90.00
_symmetry_space_group_name_H-M 'C 1 2/m 1'
_symmetry_Int_Tables_number 12
loop_
_symmetry_equiv_pos_as_xyz
'x,y,z'
'-x,-y,-z'
'-x,y,-z'
'x,-y,z'
'x+1/2,y+1/2,z'
'-x+1/2,-y+1/2,-z'
'-x+1/2,y+1/2,-z'
'x+1/2,-y+1/2,z'
loop_
_atom_site_label
_atom_site_fract_x
_atom_site_fract_y
_atom_site_fract_z
Pr1 0.0000 0.1798 0.0000
Pr2 0.0000 0.2419 0.5000
Pr3 0.0904 0.5000 0.8168
Dy1 0.2239 0.5000 0.4554
Tl1 0.0328 0.0000 0.2706
Tl2 0.2341 0.2878 0.2366
```

* calculated formation energy: -4.86 kcal/mol of atoms
* E: -3.931 eV/atom
* density of states at the Fermi level: 8.06 states/eV/f.u.

DFT (GGA-PBE) results for Pr15Dy4Tl after structural relaxation.

CIF file:
```
data_Pr15Dy4Tl
_chemical_formula_sum 'Pr15 Dy4 Tl1'
_cell_length_a 5.1467
_cell_length_b 5.1467
_cell_length_c 25.9943
_cell_angle_alpha 90.00
_cell_angle_beta 90.00
_cell_angle_gamma 90.00
_symmetry_space_group_name_H-M 'P 4/m m m'
_symmetry_Int_Tables_number 123
_symmetry_space_group_name_Hall '-P 4 2'
loop_
_atom_site_label
_atom_site_fract_x
_atom_site_fract_y
_atom_site_fract_z
Pr1 0.0000 0.0000 0.0000
Pr2 0.0000 0.0000 0.1978
Pr3 0.0000 0.0000 0.3993
Pr4 0.0000 0.5000 0.0973
Pr5 0.0000 0.5000 0.2989
Pr6 0.0000 0.5000 0.5000
Dy1 0.5000 0.5000 0.1985
Dy2 0.5000 0.5000 0.3998
Tl1 0.5000 0.5000 0.0000
```

* calculated formation energy: -0.59 kcal/mol of atoms
* E: -4.649 eV/atom
* density of states at the Fermi level: 27.77 states/eV/f.u.